[1]
A geometry-optimized NbCuRh3 structure. Source: the Alexandria database, functional GGA-PBE.

For the density, the calculation gives 7.43 Mg/m³. For the magnetization, the calculation gives 0.00 μB per formula unit. The value obtained for the polymorph energy (0 for the lowest one) is 960 meV/atom. As for the density of states at the Fermi level: 0.6424 states/eV per atom. The calculation puts the formation energy at 534 kJ/mol of formula units. For the total energy, the calculation gives -30.69 eV per cell.

The space group is Pm-3m (No. 221) and the conventional cell measures 4.7015, 4.7015 and 4.7015 Å, with angles of 90.00, 90.00 and 90.00 degrees. The distinct sites, in fractional coordinates, are Nb at (0.0000, 0.0000, 0.0000), Cu at (0.5000, 0.5000, 0.5000) and Rh at (0.0000, 0.0000, 0.5000).

=====

[2]
A geometry-optimized Nb3PtI structure. Source: the Alexandria database, functional GGA-PBE.

For the density, the calculation gives 8.26 Mg/m³. For the magnetization, the calculation gives 0.00 μB per formula unit. The value obtained for the polymorph energy (0 for the lowest one) is 701 meV/atom. As for the density of states at the Fermi level: 1.6457 states/eV per atom. For the total energy, the calculation gives -28.84 eV per cell.

The space group is Pm-3m (No. 221) and the conventional cell measures 4.9429, 4.9429 and 4.9429 Å, with angles of 90.00, 90.00 and 90.00 degrees. The distinct sites, in fractional coordinates, are Nb at (0.0000, 0.0000, 0.5000), Pt at (0.5000, 0.5000, 0.5000) and I at (0.0000, 0.0000, 0.0000).

=====

[3]
A geometry-optimized YZrTe2N structure. Source: the Alexandria database, functional GGA-PBE.

For the density, the calculation gives 5.41 Mg/m³. For the magnetization, the calculation gives 0.73 μB per formula unit. The value obtained for the polymorph energy (0 for the lowest one) is 754 meV/atom. As for the density of states at the Fermi level: 0.7641 states/eV per atom. For the total energy, the calculation gives -28.69 eV per cell.

The space group is P4/mmm (No. 123) and the conventional cell measures 5.8271, 5.8271 and 4.0596 Å, with angles of 90.00, 90.00 and 90.00 degrees. The distinct sites, in fractional coordinates, are Y at (0.0000, 0.0000, 0.0000), Zr at (0.5000, 0.5000, 0.5000), Te at (0.0000, 0.5000, 0.0000) and N at (0.0000, 0.0000, 0.5000).

=====

[4]
A geometry-optimized DyY2Si2 structure. Source: the Alexandria database, functional GGA-PBE.

For the density, the calculation gives 5.55 Mg/m³. For the magnetization, the calculation gives 0.00 μB per formula unit. The value obtained for the polymorph energy (0 for the lowest one) is 0 meV/atom. As for the density of states at the Fermi level: 0.8772 states/eV per atom. For the total energy, the calculation gives -63.89 eV per cell.

The space group is P4/mbm (No. 127) and the conventional cell measures 7.4975, 7.4975 and 4.2210 Å, with angles of 90.00, 90.00 and 90.00 degrees. The distinct sites, in fractional coordinates, are Dy at (0.0000, 0.0000, 0.0000), Y at (0.1759, 0.3241, 0.5000) and Si at (0.1164, 0.6164, 0.0000).

=====

[5]
A geometry-optimized LiZnFe structure. Source: the Alexandria database, functional GGA-PBE.

For the density, the calculation gives 5.31 Mg/m³. For the magnetization, the calculation gives 2.24 μB per formula unit. The value obtained for the polymorph energy (0 for the lowest one) is 108 meV/atom. As for the density of states at the Fermi level: 0.7450 states/eV per atom. The calculation puts the formation energy at 25 kJ/mol of formula units. For the total energy, the calculation gives -22.79 eV per cell.

The space group is I4mm (No. 107) and the conventional cell measures 2.5618, 2.5618 and 12.2225 Å, with angles of 90.00, 90.00 and 90.00 degrees. The distinct sites, in fractional coordinates, are Li at (0.0000, 0.0000, 0.0000), Zn at (0.0000, 0.0000, 0.6755) and Fe at (0.0000, 0.0000, 0.3311).

=====

[6]
A geometry-optimized Hf5TiIn6 structure. Source: the Alexandria database, functional GGA-PBE.

For the density, the calculation gives 10.59 Mg/m³. For the magnetization, the calculation gives 0.00 μB per formula unit. As for the density of states at the Fermi level: 0.7501 states/eV per atom. The calculation puts the formation energy at -172 kJ/mol of formula units. For the total energy, the calculation gives -151.76 eV per cell.

The space group is Immm (No. 71) and the conventional cell measures 4.3857, 8.8585 and 13.1451 Å, with angles of 90.00, 90.00 and 90.00 degrees. The distinct sites, in fractional coordinates, are Hf at (0.0000, 0.0000, 0.0000), Hf at (0.0000, 0.0000, 0.3357), Hf at (0.0000, 0.5000, 0.3335), Ti at (0.0000, 0.5000, 0.0000), In at (0.0000, 0.2463, 0.5000) and In at (0.0000, 0.2519, 0.1655).